The following is a DFT calculation (SCAN) of a crystal of LiMoSe relaxed with PBEsol.

a b c (Å): 3.0790 3.0790 6.3151
angles (deg): 90.00 90.00 120.00
Last column: nearest neighbours and their distance in Å.
Atoms (fractional coordinates):
Mo (0.3333, 0.6667, 0.6314)  3 Se 2.46
Li (0.0000, 0.0000, 0.0074)  3 Se 2.86, 3 Mo 2.97, 6 Li 3.08
Se (0.6667, 0.3333, 0.3612)  3 Mo 2.46

Results
Calculated total energy: -19.150 eV/atom
Density of states at the Fermi level: 1.83 states/eV/cell
SG: No. 156